No. 1
Material: SiTc2Ni
Method: DFT, PBEsol
State: optimized geometry

```
4
Lattice="-1.337 2.207 -0.791 -2.692 0.078 0.167 -0.789 3.791 7.304" Properties=species:S:1:pos:R:3 pbc="T T T"
Ni -2.409 3.038 3.340
Si 0.000 0.000 0.000
Tc -1.206 1.512 1.653
Tc -3.613 4.564 5.027
```

Properties
density = 9169 kg/m³
volume = 12.803 Å³/atom
spin magnetization = 0.00 Bohr magnetons per cell
formation energy (no corrections) = -0.035 eV/atom

***

No. 2
Material: MnMo2W
Method: DFT, PBEsol
State: optimized geometry

```
4
Lattice="2.673 0.002 0.000 -0.847 2.536 0.000 0.000 0.000 8.489" Properties=species:S:1:pos:R:3 pbc="T T T"
Mo 0.000 0.000 1.994
Mo 0.000 0.000 6.495
Mn 0.913 1.269 0.000
W 0.913 1.269 4.245
```

Properties
density = 12425 kg/m³
relative energy among the computed polymorphs = 2.0 meV/atom
ΔH_f (0 K) = 91.0 meV/atom
volume = 14.389 Å³/atom
spin magnetization = 1.55 Bohr magnetons per cell

***

No. 3
Material: NaHfNb2
Method: DFT, PBEsol
State: optimized geometry

```
4
Lattice="-1.606 3.472 -2.840 -1.697 -1.054 -4.325 -4.665 0.385 -0.887" Properties=species:S:1:pos:R:3 pbc="T T T"
Na 0.000 0.000 0.000
Nb -1.992 0.701 -2.013
Nb -5.976 2.103 -6.039
Hf -3.984 1.402 -4.026
```

Properties
density = 8411 kg/m³
ΔH_f (0 K) = 847.1 meV/atom
volume = 19.115 Å³/atom
spin magnetization = 0.00 Bohr magnetons per cell

***

No. 4
Material: BPdCl2
Method: DFT, PBEsol
State: optimized geometry

```
4
Lattice="-2.342 0.322 2.010 -2.932 -0.030 -1.016 -1.993 -7.194 1.225" Properties=species:S:1:pos:R:3 pbc="T T T"
B -3.633 -3.451 1.109
Pd 0.000 0.000 0.000
Cl -5.348 -2.007 1.275
Cl -1.919 -4.895 0.943
```

Properties
density = 5098 kg/m³
relative energy among the computed polymorphs = 119.3 meV/atom
volume = 15.320 Å³/atom
spin magnetization = 0.00 Bohr magnetons per cell
formation energy (no corrections) = 0.671 eV/atom

***

No. 5
Material: LiPb
Method: DFT, PBEsol
State: optimized geometry

```
2
Lattice="3.363 0.000 0.000 -1.682 2.912 0.000 0.000 0.000 4.658" Properties=species:S:1:pos:R:3 pbc="T T T"
Pb 0.000 1.942 2.329
Li 0.000 0.000 0.000
```

Properties
density = 7793 kg/m³
ΔH_f (0 K) = -232.5 meV/atom
volume = 22.814 Å³/atom
spin magnetization = 0.00 Bohr magnetons per cell

***

No. 6
Material: ZrTe
Method: DFT, PBEsol
State: optimized geometry

```
2
Lattice="-1.565 2.100 2.663 -0.642 -3.679 -0.096 3.062 -0.593 2.267" Properties=species:S:1:pos:R:3 pbc="T T T"
Te 0.274 -0.123 2.877
Zr 0.000 0.000 0.000
```

Properties
density = 7798 kg/m³
volume = 23.299 Å³/atom
spin magnetization = 0.00 Bohr magnetons per cell
formation energy (no corrections) = -0.988 eV/atom